--- w ---
## MnAs2Cl (PBE)

Data for crystalline MnAs2Cl at its relaxed geometry.

## Properties
**SG**: P4/mmm (123)

a = 5.0204 Å, b = 5.0204 Å, c = 2.9271 Å
α = 90.00°, β = 90.00°, γ = 90.00°
Element x y z (fractional)
Mn1 0.0000 0.0000 0.0000
As1 0.0000 0.5000 0.5000
As2 0.5000 0.0000 0.5000
Cl1 0.5000 0.5000 0.0000

--- x ---
## MnAs2Cl (PBE)

Data for crystalline MnAs2Cl at its relaxed geometry.

## Properties
**SG**: Imm2 (44)

a = 8.8370 Å, b = 8.8370 Å, c = 8.8370 Å
α = 156.08°, β = 155.45°, γ = 34.54°
Element x y z (fractional)
Mn1 0.0000 0.0000 0.0000
As1 0.5989 0.0989 0.5000
As2 0.6939 0.6939 0.0000
Cl1 0.9115 0.4115 0.5000

The energy of each structure relative to the most stable one, in meV per atom, is as follows: w 596; x 0.

--- w ---
## MnAs2Cl (PBE)

Data for crystalline MnAs2Cl at its relaxed geometry.

## Properties
**SG**: P4mm (99)

a = 3.4355 Å, b = 3.4355 Å, c = 7.4278 Å
α = 90.00°, β = 90.00°, γ = 90.00°
Element x y z (fractional)
Mn1 0.0000 0.0000 0.0000
As1 0.0000 0.0000 0.3629
As2 0.5000 0.5000 0.2250
Cl1 0.5000 0.5000 0.8024

--- x ---
## MnAs2Cl (PBE)

Data for crystalline MnAs2Cl at its relaxed geometry.

## Properties
**SG**: R-3m (166)

a = 7.8019 Å, b = 7.8019 Å, c = 7.8019 Å
α = 24.64°, β = 24.64°, γ = 24.64°
Element x y z (fractional)
Mn1 0.0000 0.0000 0.0000
As1 0.2650 0.2650 0.2650
As2 0.7350 0.7350 0.7350
Cl1 0.5000 0.5000 0.5000

The energy of each structure relative to the most stable one, in meV per atom, is as follows: w 0; x 40.

--- w ---
## MnAs2Cl (PBE)

Data for crystalline MnAs2Cl at its relaxed geometry.

## Properties
**SG**: C2/m (12)

a = 3.6813 Å, b = 3.6813 Å, c = 7.6704 Å
α = 103.83°, β = 103.83°, γ = 59.83°
Element x y z (fractional)
Mn1 0.0000 0.0000 0.0000
As1 0.3876 0.3876 0.1655
As2 0.6124 0.6124 0.8345
Cl1 0.5000 0.5000 0.5000

--- x ---
## MnAs2Cl (PBE)

Data for crystalline MnAs2Cl at its relaxed geometry.

## Properties
**SG**: I-42d (122)

a = 7.1617 Å, b = 7.1617 Å, c = 7.1617 Å
α = 131.69°, β = 131.69°, γ = 70.72°
Element x y z (fractional)
Mn1 0.0000 0.0000 0.0000
Mn2 0.7500 0.2500 0.5000
As1 0.0266 0.6250 0.9016
As2 0.3750 0.2766 0.4016
As3 0.7234 0.1250 0.0984
As4 0.8750 0.9734 0.5984
Cl1 0.2500 0.7500 0.5000
Cl2 0.5000 0.5000 0.0000

The energy of each structure relative to the most stable one, in meV per atom, is as follows: w 0; x 335.

--- w ---
## MnAs2Cl (PBE)

Data for crystalline MnAs2Cl at its relaxed geometry.

## Properties
**SG**: Fm-3m (225)

a = 4.5251 Å, b = 4.5251 Å, c = 4.5251 Å
α = 60.00°, β = 60.00°, γ = 60.00°
Element x y z (fractional)
Mn1 0.0000 0.0000 0.0000
As1 0.2500 0.2500 0.2500
As2 0.7500 0.7500 0.7500
Cl1 0.5000 0.5000 0.5000

--- x ---
## MnAs2Cl (PBE)

Data for crystalline MnAs2Cl at its relaxed geometry.

## Properties
**SG**: P4/mmm (123)

a = 3.0117 Å, b = 3.0117 Å, c = 7.4921 Å
α = 90.00°, β = 90.00°, γ = 90.00°
Element x y z (fractional)
Mn1 0.0000 0.0000 0.0000
As1 0.5000 0.5000 0.1869
As2 0.5000 0.5000 0.8131
Cl1 0.0000 0.0000 0.5000

--- y ---
## MnAs2Cl (PBE)

Data for crystalline MnAs2Cl at its relaxed geometry.

## Properties
**SG**: P4/mmm (123)

a = 3.6617 Å, b = 3.6617 Å, c = 6.2317 Å
α = 90.00°, β = 90.00°, γ = 90.00°
Element x y z (fractional)
Mn1 0.0000 0.0000 0.0000
As1 0.0000 0.5000 0.5000
As2 0.5000 0.0000 0.5000
Cl1 0.5000 0.5000 0.0000

--- z ---
## MnAs2Cl (PBE)

Data for crystalline MnAs2Cl at its relaxed geometry.

## Properties
**SG**: I4/mmm (139)

a = 4.7173 Å, b = 4.7173 Å, c = 4.7173 Å
α = 110.41°, β = 110.41°, γ = 107.61°
Element x y z (fractional)
Mn1 0.0000 0.0000 0.0000
As1 0.0000 0.5000 0.5000
As2 0.5000 0.0000 0.5000
Cl1 0.5000 0.5000 0.0000

The energy of each structure relative to the most stable one, in meV per atom, is as follows: w 781; x 0; y 95; z 118.